[1]
# CaPtF3

A geometry-optimized CaPtF3 structure (PBE, Alexandria via LeMat-Bulk).

Calculated values
E_tot (eV per atom): -4.25
SG: Pm-3m
Calculated volume (Å³/cell): 87.6

Cell lengths 4.4414, 4.4414, 4.4414 Å; angles 90.00, 90.00, 90.00 degrees
Last column: nearest neighbours and their distance in Å.
Fractional positions:
Ca: 0.5000 0.5000 0.5000  12 F 3.14
F: 0.0000 0.0000 0.5000  2 Pt 2.22
F: 0.5000 0.0000 0.0000  2 Pt 2.22
F: 0.0000 0.5000 0.0000  2 Pt 2.22
Pt: 0.0000 0.0000 0.0000  6 F 2.22



[2]
# CaPtF2

A geometry-optimized CaPtF2 structure (PBE, Alexandria via LeMat-Bulk).

Calculated values
E_tot (eV per atom): -4.99
SG: R-3m
Calculated volume (Å³/cell): 82.6

Cell lengths 9.4892, 9.4892, 9.4892 Å; angles 19.42, 19.42, 19.42 degrees
Last column: nearest neighbours and their distance in Å.
Fractional positions:
F: 0.1247 0.1247 0.1247  3 Ca 2.19
F: 0.8753 0.8753 0.8753  3 Ca 2.19
Pt: 0.0000 0.0000 0.0000  6 Pt 3.20, 2 F 3.48
Ca: 0.5000 0.5000 0.5000  6 F 2.19



[3]
# CaPtF2

A geometry-optimized CaPtF2 structure (PBE, Alexandria via LeMat-Bulk).

Calculated values
E_tot (eV per atom): -4.46
SG: Fm-3m
Calculated volume (Å³/cell): 59.2

Cell lengths 4.3750, 4.3750, 4.3750 Å; angles 60.00, 60.00, 60.00 degrees
Last column: nearest neighbours and their distance in Å.
Fractional positions:
Ca: 0.0000 0.0000 0.0000  8 F 2.68
Pt: 0.5000 0.5000 0.5000  8 F 2.68
F: 0.2500 0.2500 0.2500  4 Ca 2.68, 4 Pt 2.68
F: 0.7500 0.7500 0.7500  4 Ca 2.68, 4 Pt 2.68



[4]
# CaPtF

A geometry-optimized CaPtF structure (PBE, Alexandria via LeMat-Bulk).

Calculated values
E_tot (eV per atom): -5.57
SG: P2_1/m
Calculated volume (Å³/cell): 216.7

Cell lengths 3.8579, 7.6834, 8.2497 Å; angles 62.41, 90.00, 90.00 degrees
Last column: nearest neighbours and their distance in Å.
Fractional positions:
Pt: 0.7500 0.6247 0.0000  4 Pt 2.72-2.73, 4 Ca 3.01-3.02
Pt: 0.7500 0.1247 0.0000  4 Pt 2.72-2.73, 4 Ca 3.01-3.02
Pt: 0.2500 0.8753 0.0000  4 Pt 2.72-2.73, 4 Ca 3.01-3.02
Pt: 0.2500 0.3753 0.0000  4 Pt 2.72-2.73, 4 Ca 3.01-3.02
Ca: 0.7500 0.7161 0.3171  4 F 2.34
Ca: 0.7500 0.2161 0.3171  4 F 2.34
Ca: 0.2500 0.7839 0.6829  4 F 2.34
Ca: 0.2500 0.2839 0.6829  4 F 2.34
F: 0.2500 0.6253 0.4991  4 Ca 2.34
F: 0.7500 0.3747 0.5009  4 Ca 2.34
F: 0.2500 0.1253 0.4991  4 Ca 2.34
F: 0.7500 0.8747 0.5009  4 Ca 2.34



| no. | M_tot (Bohr magnetons per cell) | uncorrected formation energy (meV/atom) |
| --- | --- | --- |
| 1 | 0.00 | -1514 |
| 2 | 0.65 | -2039 |
| 3 | 0.21 | -1509 |
| 4 | 0.00 | -2263 |